[1]
A plane-wave DFT calculation with PBE was carried out for a relaxed LaGeF2 crystal.

Computed properties:
Polymorph energy (0 for the lowest one) in eV per formula unit: 1.29
DOS(E_F) in states/eV/f.u.: 1.616
ΔE_f (raw) in eV/atom: -2.02

CIF file:
```
data_LaGeF2
_chemical_formula_sum 'La3 Ge3 F6'
_cell_length_a 3.3479
_cell_length_b 3.3479
_cell_length_c 24.3120
_cell_angle_alpha 90.00
_cell_angle_beta 90.00
_cell_angle_gamma 120.00
_space_group_name_H-M_alt 'R -3 m'
_space_group_IT_number 166
_space_group_name_Hall '-R 3 2"'
loop_
_atom_site_label
_atom_site_type_symbol
_atom_site_fract_x
_atom_site_fract_y
_atom_site_fract_z
La1 La 0.0000 0.0000 0.0000
Ge1 Ge 0.0000 0.0000 0.5000
F1 F 0.0000 0.0000 0.4021
```

=====

[2]
A plane-wave DFT calculation with PBE was carried out for a relaxed LaGeF2 crystal.

Computed properties:
Polymorph energy (0 for the lowest one) in eV per formula unit: 0.00
DOS(E_F) in states/eV/f.u.: 2.859
ΔE_f (raw) in eV/atom: -2.34

CIF file:
```
data_LaGeF2
_chemical_formula_sum 'La3 Ge3 F6'
_cell_length_a 4.0528
_cell_length_b 4.0528
_cell_length_c 18.3727
_cell_angle_alpha 90.00
_cell_angle_beta 90.00
_cell_angle_gamma 120.00
_space_group_name_H-M_alt 'R -3 m'
_space_group_IT_number 166
_space_group_name_Hall '-R 3 2"'
loop_
_atom_site_label
_atom_site_type_symbol
_atom_site_fract_x
_atom_site_fract_y
_atom_site_fract_z
La1 La 0.0000 0.0000 0.0000
Ge1 Ge 0.0000 0.0000 0.5000
F1 F 0.0000 0.0000 0.3019
```

=====

[3]
A plane-wave DFT calculation with PBE was carried out for a relaxed La2GeF crystal.

Computed properties:
Polymorph energy (0 for the lowest one) in eV per formula unit: 0.43
DOS(E_F) in states/eV/f.u.: 2.486
ΔE_f (raw) in eV/atom: -1.57

CIF file:
```
data_La2GeF
_chemical_formula_sum 'La6 Ge3 F3'
_cell_length_a 4.1217
_cell_length_b 4.1217
_cell_length_c 21.2892
_cell_angle_alpha 90.00
_cell_angle_beta 90.00
_cell_angle_gamma 120.00
_space_group_name_H-M_alt 'R 3 m'
_space_group_IT_number 160
_space_group_name_Hall 'R 3 -2"'
loop_
_atom_site_label
_atom_site_type_symbol
_atom_site_fract_x
_atom_site_fract_y
_atom_site_fract_z
La1 La 0.0000 0.0000 0.0000
La2 La 0.0000 0.0000 0.1697
Ge1 Ge 0.0000 0.0000 0.5843
F1 F 0.0000 0.0000 0.4055
```

=====

[4]
A plane-wave DFT calculation with PBE was carried out for a relaxed LiLaGe2F crystal.

Computed properties:
DOS(E_F) in states/eV/f.u.: 2.750
ΔE_f (raw) in eV/atom: -0.71

CIF file:
```
data_LiLaGe2F
_chemical_formula_sum 'Li1 La1 Ge2 F1'
_cell_length_a 4.889
_cell_length_b 4.889
_cell_length_c 4.701
_cell_angle_alpha 90.00
_cell_angle_beta 90.00
_cell_angle_gamma 90.00
_space_group_name_H-M_alt 'P 4/m m m'
_space_group_IT_number 123
_space_group_name_Hall '-P 4 2'
loop_
_atom_site_label
_atom_site_type_symbol
_atom_site_fract_x
_atom_site_fract_y
_atom_site_fract_z
Li1 Li 0.000 0.000 0.000
La1 La 0.500 0.500 0.000
Ge1 Ge 0.000 0.500 0.500
F1 F 0.500 0.500 0.500
```

=====

[5]
A plane-wave DFT calculation with PBE was carried out for a relaxed LiLa2GeF crystal.

Computed properties:
DOS(E_F) in states/eV/f.u.: 2.461
ΔE_f (raw) in eV/atom: -1.39

CIF file:
```
data_LiLa2GeF
_chemical_formula_sum 'Li1 La2 Ge1 F1'
_cell_length_a 5.149
_cell_length_b 5.149
_cell_length_c 4.069
_cell_angle_alpha 90.00
_cell_angle_beta 90.00
_cell_angle_gamma 90.00
_space_group_name_H-M_alt 'P 4/m m m'
_space_group_IT_number 123
_space_group_name_Hall '-P 4 2'
loop_
_atom_site_label
_atom_site_type_symbol
_atom_site_fract_x
_atom_site_fract_y
_atom_site_fract_z
Li1 Li 0.000 0.000 0.000
La1 La 0.000 0.500 0.500
Ge1 Ge 0.500 0.500 0.000
F1 F 0.000 0.000 0.500
```